(1)
First-principles (PBE) data for a geometry-optimized LiPm2Sn4Pd3 structure, as listed in Alexandria.

CIF file:
```
data_LiPm2Sn4Pd3
_chemical_formula_sum 'Li1 Pm2 Sn4 Pd3'
_cell_length_a 4.493
_cell_length_b 4.493
_cell_length_c 11.125
_cell_angle_alpha 90.00
_cell_angle_beta 90.00
_cell_angle_gamma 90.00
_symmetry_space_group_name_H-M 'P -4 m 2'
_symmetry_Int_Tables_number 115
_symmetry_space_group_name_Hall 'P -4 -2'
loop_
_atom_site_label
_atom_site_fract_x
_atom_site_fract_y
_atom_site_fract_z
_atom_site_occupancy
Li1 0.000 0.000 0.000 1
Pm1 0.000 0.500 0.758 1
Sn1 0.000 0.000 0.500 1
Sn2 0.000 0.500 0.131 1
Sn3 0.500 0.500 0.500 1
Pd1 0.000 0.500 0.366 1
Pd2 0.500 0.500 0.000 1
```

Results
Formation energy = -0.704 eV/atom

(2)
First-principles (PBE) data for a geometry-optimized Cs3Cd3Au structure, as listed in Alexandria.

CIF file:
```
data_Cs3Cd3Au
_chemical_formula_sum 'Cs12 Cd12 Au4'
_cell_length_a 13.978
_cell_length_b 5.229
_cell_length_c 18.258
_cell_angle_alpha 90.00
_cell_angle_beta 109.66
_cell_angle_gamma 90.00
_symmetry_space_group_name_H-M 'C 1 2/m 1'
_symmetry_Int_Tables_number 12
_symmetry_space_group_name_Hall '-C 2y'
loop_
_atom_site_label
_atom_site_fract_x
_atom_site_fract_y
_atom_site_fract_z
_atom_site_occupancy
Cs1 0.015 0.000 0.391 1
Cs2 0.114 0.000 0.919 1
Cs3 0.239 0.500 0.757 1
Cd1 0.065 0.500 0.241 1
Cd2 0.087 0.500 0.080 1
Cd3 0.200 0.500 0.540 1
Au1 0.226 0.500 0.388 1
```

Results
Formation energy = -0.130 eV/atom

(3)
First-principles (PBE) data for a geometry-optimized La2TbNd4 structure, as listed in Alexandria.

CIF file:
```
data_La2TbNd4
_chemical_formula_sum 'La4 Tb2 Nd8'
_cell_length_a 6.755
_cell_length_b 8.907
_cell_length_c 9.061
_cell_angle_alpha 87.11
_cell_angle_beta 81.38
_cell_angle_gamma 67.87
_symmetry_space_group_name_H-M 'P 1'
_symmetry_Int_Tables_number 1
_symmetry_space_group_name_Hall 'P 1'
loop_
_atom_site_label
_atom_site_fract_x
_atom_site_fract_y
_atom_site_fract_z
_atom_site_occupancy
La1 0.000 0.000 0.000 1
La2 0.029 0.344 0.786 1
La3 0.292 0.422 0.463 1
La4 0.602 0.583 0.604 1
Tb1 0.302 0.796 0.283 1
Tb2 0.593 0.213 0.788 1
Nd1 0.222 0.585 0.961 1
Nd2 0.314 0.196 0.145 1
Nd3 0.409 0.001 0.565 1
Nd4 0.607 0.806 0.931 1
Nd5 0.688 0.418 0.115 1
Nd6 0.856 0.688 0.284 1
Nd7 0.889 0.188 0.427 1
Nd8 0.992 0.811 0.638 1
```

Results
Formation energy = 0.094 eV/atom

(4)
First-principles (PBE) data for a geometry-optimized Sr5Ca2Ag2 structure, as listed in Alexandria.

CIF file:
```
data_Sr5Ca2Ag2
_chemical_formula_sum 'Sr20 Ca8 Ag8'
_cell_length_a 21.730
_cell_length_b 8.315
_cell_length_c 8.389
_cell_angle_alpha 90.00
_cell_angle_beta 90.00
_cell_angle_gamma 90.00
_symmetry_space_group_name_H-M 'C m c e'
_symmetry_Int_Tables_number 64
_symmetry_space_group_name_Hall '-C 2ac 2'
loop_
_atom_site_label
_atom_site_fract_x
_atom_site_fract_y
_atom_site_fract_z
_atom_site_occupancy
Sr1 0.000 0.000 0.000 1
Sr2 0.111 0.179 0.320 1
Ca1 0.234 0.000 0.000 1
Ag1 0.000 0.120 0.621 1
```

Results
Formation energy = -0.102 eV/atom

(5)
First-principles (PBE) data for a geometry-optimized Tc2TeCl structure, as listed in Alexandria.

CIF file:
```
data_Tc2TeCl
_chemical_formula_sum 'Tc2 Te1 Cl1'
_cell_length_a 3.006
_cell_length_b 3.006
_cell_length_c 8.693
_cell_angle_alpha 90.00
_cell_angle_beta 90.00
_cell_angle_gamma 90.00
_symmetry_space_group_name_H-M 'P 4 m m'
_symmetry_Int_Tables_number 99
_symmetry_space_group_name_Hall 'P 4 -2'
loop_
_atom_site_label
_atom_site_fract_x
_atom_site_fract_y
_atom_site_fract_z
_atom_site_occupancy
Tc1 0.000 0.000 0.000 1
Tc2 0.500 0.500 0.189 1
Te1 0.000 0.000 0.407 1
Cl1 0.500 0.500 0.808 1
```

Results
Raw formation energy = 80 meV per atom

(6)
First-principles (PBE) data for a geometry-optimized BaNaCa2Cd4 structure, as listed in Alexandria.

CIF file:
```
data_BaNaCa2Cd4
_chemical_formula_sum 'Ba3 Na3 Ca6 Cd12'
_cell_length_a 5.5363
_cell_length_b 5.5363
_cell_length_c 28.0205
_cell_angle_alpha 90.00
_cell_angle_beta 90.00
_cell_angle_gamma 120.00
_symmetry_space_group_name_H-M 'R -3 m'
_symmetry_Int_Tables_number 166
_symmetry_space_group_name_Hall '-R 3 2"'
loop_
_atom_site_label
_atom_site_fract_x
_atom_site_fract_y
_atom_site_fract_z
_atom_site_occupancy
Ba1 0.0000 0.0000 0.0000 1
Na1 0.0000 0.0000 0.5000 1
Ca1 0.0000 0.0000 0.2444 1
Cd1 0.0000 0.0000 0.1253 1
Cd2 0.0000 0.0000 0.3868 1
```

Results
Formation energy = -0.228 eV/atom

Number 1: total magnetization 0.00 μB/cell, E -5.0046 eV/atom. Number 2: total magnetization 0.00 μB/cell, E -1.3567 eV/atom. Number 3: total magnetization 0.00 μB/cell, E -4.7001 eV/atom. Number 4: total magnetization 0.00 μB/cell, E -2.1144 eV/atom. Number 5: total magnetization 0.00 μB/cell, E -6.3499 eV/atom. Number 6: total magnetization 0.00 μB/cell, E -1.5913 eV/atom.